The following is a DFT calculation (PBE) of a geometry-optimized PuAlSiGe structure.

Summary:
- Crystal system: orthorhombic
- E_form (uncorrected): -350 meV per atom

Cell lengths 4.0406, 4.2243, 4.2830 Å; angles 90.00, 90.00, 90.00 degrees
Last column: nearest neighbours and their distance in Å.
Element x y z (fractional)
Pu: 0.5000 0.5000 0.0000  4 Si 2.92, 4 Ge 2.94, 4 Al 3.01
Ge: 0.0000 0.5000 0.5000  4 Al 2.92, 4 Pu 2.94, 4 Si 3.01
Si: 0.0000 0.0000 0.0000  4 Pu 2.92, 4 Al 2.94, 4 Ge 3.01
Al: 0.5000 0.0000 0.5000  4 Ge 2.92, 4 Si 2.94, 4 Pu 3.01



The following is a DFT calculation (PBE) of a geometry-optimized SmPuAlGe structure.

Summary:
- Formation energy: -1.28 eV/f.u.
- Crystal system: cubic

Cell lengths 5.1169, 5.1169, 5.1169 Å; angles 60.00, 60.00, 60.00 degrees
Last column: nearest neighbours and their distance in Å.
Element x y z (fractional)
Al: 0.0000 0.0000 0.0000  4 Sm 3.13, 4 Pu 3.13
Pu: 0.2500 0.2500 0.2500  4 Ge 3.13, 4 Al 3.13
Sm: 0.7500 0.7500 0.7500  4 Ge 3.13, 4 Al 3.13
Ge: 0.5000 0.5000 0.5000  4 Sm 3.13, 4 Pu 3.13



The following is a DFT calculation (PBE) of a geometry-optimized SmPu2Al2Ge2 structure.

Summary:
- Formation energy: -1.37 eV/f.u.
- Crystal system: trigonal

Cell lengths 4.2217, 4.2217, 9.6424 Å; angles 77.35, 77.35, 60.00 degrees
Last column: nearest neighbours and their distance in Å.
Element x y z (fractional)
Ge: 0.2688 0.2688 0.1936  3 Al 2.56
Ge: 0.7312 0.7312 0.8064  3 Al 2.56
Pu: 0.1599 0.1599 0.5203  3 Pu 2.47
Pu: 0.8401 0.8401 0.4797  3 Pu 2.47
Al: 0.5742 0.5742 0.2774  3 Ge 2.56
Al: 0.4258 0.4258 0.7226  3 Ge 2.56
Sm: 0.0000 0.0000 0.0000  6 Ge 3.03



The following is a DFT calculation (PBE) of a geometry-optimized Pu2ThAl2Ge2 structure.

Summary:
- Formation energy: -1.02 eV/f.u.
- Crystal system: trigonal

Cell lengths 4.2352, 4.2352, 9.5889 Å; angles 77.24, 77.24, 60.00 degrees
Last column: nearest neighbours and their distance in Å.
Element x y z (fractional)
Pu: 0.8450 0.8450 0.4650  3 Pu 2.53
Pu: 0.1550 0.1550 0.5350  3 Pu 2.53
Ge: 0.2659 0.2659 0.2022  3 Al 2.52
Ge: 0.7341 0.7341 0.7978  3 Al 2.52
Al: 0.4229 0.4229 0.7312  3 Ge 2.52
Al: 0.5771 0.5771 0.2688  3 Ge 2.52
Th: 0.0000 0.0000 0.0000  6 Ge 3.08



The following is a DFT calculation (PBE) of a geometry-optimized PuAlVGe2 structure.

Summary:
- Formation energy: -1.39 eV/f.u.
- Crystal system: orthorhombic

Cell lengths 5.8147, 5.5712, 5.7185 Å; angles 90.00, 90.00, 90.00 degrees
Last column: nearest neighbours and their distance in Å.
Element x y z (fractional)
Ge: 0.7399 0.2500 0.2735  2 V 2.58, 1 Al 2.59, 1 Ge 2.59
Ge: 0.2601 0.7500 0.2735  2 V 2.58, 1 Al 2.59, 1 Ge 2.59
Ge: 0.7399 0.2500 0.7265  2 V 2.58, 1 Al 2.59, 1 Ge 2.59
Ge: 0.2601 0.7500 0.7265  2 V 2.58, 1 Al 2.59, 1 Ge 2.59
V: 0.0000 0.5000 0.0000  4 Ge 2.58, 2 Al 2.64, 2 V 2.79
V: 0.0000 0.0000 0.0000  4 Ge 2.58, 2 Al 2.64, 2 V 2.79
Al: 0.3852 0.2500 0.0000  2 Ge 2.59, 2 V 2.64
Al: 0.6148 0.7500 0.0000  2 Ge 2.59, 2 V 2.64
Pu: 0.2291 0.2500 0.5000  2 Al 3.00, 8 Ge 3.08-3.24
Pu: 0.7709 0.7500 0.5000  2 Al 3.00, 8 Ge 3.08-3.24



The following is a DFT calculation (PBE) of a geometry-optimized Pu2AlZn4Ge3 structure.

Summary:
- Formation energy: -2.44 eV/f.u.
- Crystal system: tetragonal

Cell lengths 4.1667, 4.1667, 10.8468 Å; angles 90.00, 90.00, 90.00 degrees
Last column: nearest neighbours and their distance in Å.
Element x y z (fractional)
Ge: 0.0000 0.0000 0.5000  4 Zn 2.56
Ge: 0.0000 0.5000 0.1399  5 Zn 2.42-2.58
Ge: 0.5000 0.0000 0.8601  5 Zn 2.42-2.58
Zn: 0.5000 0.5000 0.0000  4 Ge 2.58
Zn: 0.0000 0.5000 0.3632  3 Ge 2.42-2.56, 2 Al 2.56
Zn: 0.5000 0.0000 0.6368  3 Ge 2.42-2.56, 2 Al 2.56
Zn: 0.0000 0.0000 0.0000  4 Ge 2.58
Pu: 0.5000 0.0000 0.2509  6 Ge 3.18-3.41, 8 Zn 3.19-3.43, 2 Al 3.41
Pu: 0.0000 0.5000 0.7491  6 Ge 3.18-3.41, 8 Zn 3.19-3.43, 2 Al 3.41
Al: 0.5000 0.5000 0.5000  4 Zn 2.56



The following is a DFT calculation (PBE) of a geometry-optimized Rb3AlGe structure.

Summary:
- Formation energy: 2.92 eV/f.u.
- Crystal system: cubic
- E above lowest polymorph: 0 meV/atom

Cell lengths 6.8192, 6.8192, 6.8192 Å; angles 90.00, 90.00, 90.00 degrees
Last column: nearest neighbours and their distance in Å.
Element x y z (fractional)
Rb: 0.0000 0.0000 0.5000  2 Ge 3.41
Rb: 0.0000 0.5000 0.0000  2 Ge 3.41
Rb: 0.5000 0.0000 0.0000  2 Ge 3.41
Ge: 0.0000 0.0000 0.0000  6 Rb 3.41
Al: 0.5000 0.5000 0.5000  12 Rb 4.82



The following is a DFT calculation (PBE) of a geometry-optimized RbAlGe2 structure.

Summary:
- Formation energy: 0.43 eV/f.u.
- Crystal system: tetragonal

Cell lengths 5.4793, 5.4793, 9.2752 Å; angles 72.82, 72.82, 90.00 degrees
Last column: nearest neighbours and their distance in Å.
Element x y z (fractional)
Al: 0.2500 0.7500 0.5000  4 Ge 2.51
Al: 0.5000 0.5000 0.0000  4 Ge 2.51
Rb: 0.7500 0.2500 0.5000  8 Ge 3.72, 4 Al 3.87
Rb: 0.0000 0.0000 0.0000  8 Ge 3.72, 4 Al 3.87
Ge: 0.3748 0.1250 0.2500  2 Al 2.51, 2 Ge 2.74
Ge: 0.3750 0.6252 0.7500  2 Al 2.51, 2 Ge 2.74
Ge: 0.3752 0.6250 0.2500  2 Al 2.51, 2 Ge 2.74
Ge: 0.8750 0.6248 0.7500  2 Al 2.51, 2 Ge 2.74



Repeat the sixth record exactly.
The following is a DFT calculation (PBE) of a geometry-optimized Pu2AlZn4Ge3 structure.

Summary:
- Formation energy: -2.44 eV/f.u.
- Crystal system: tetragonal

Cell lengths 4.1667, 4.1667, 10.8468 Å; angles 90.00, 90.00, 90.00 degrees
Last column: nearest neighbours and their distance in Å.
Element x y z (fractional)
Ge: 0.0000 0.0000 0.5000  4 Zn 2.56
Ge: 0.0000 0.5000 0.1399  5 Zn 2.42-2.58
Ge: 0.5000 0.0000 0.8601  5 Zn 2.42-2.58
Zn: 0.5000 0.5000 0.0000  4 Ge 2.58
Zn: 0.0000 0.5000 0.3632  3 Ge 2.42-2.56, 2 Al 2.56
Zn: 0.5000 0.0000 0.6368  3 Ge 2.42-2.56, 2 Al 2.56
Zn: 0.0000 0.0000 0.0000  4 Ge 2.58
Pu: 0.5000 0.0000 0.2509  6 Ge 3.18-3.41, 8 Zn 3.19-3.43, 2 Al 3.41
Pu: 0.0000 0.5000 0.7491  6 Ge 3.18-3.41, 8 Zn 3.19-3.43, 2 Al 3.41
Al: 0.5000 0.5000 0.5000  4 Zn 2.56



Q: What is the formula in the first record?
A: PuAlSiGe